ZnTeO3 at its PBEsol-relaxed geometry. Source: Alexandria via LeMat-Bulk, functional meta-GGA SCAN.

Summary:
Space-group type: No. 61
ΔE_f (raw): -1.34 eV per atom
Crystal system: orthorhombic

Unit cell a=6.283 b=12.291 c=7.288 alpha=90.00 beta=90.00 gamma=90.00
Sites, in units of the cell vectors:
Zn  0.124  0.090  0.110
Zn  0.124  0.410  0.610
Zn  0.376  0.590  0.110
Zn  0.376  0.910  0.610
Zn  0.624  0.090  0.390
Zn  0.624  0.410  0.890
Zn  0.876  0.590  0.390
Zn  0.876  0.910  0.890
Te  0.089  0.145  0.566
Te  0.089  0.355  0.066
Te  0.411  0.645  0.566
Te  0.411  0.855  0.066
Te  0.589  0.145  0.934
Te  0.589  0.355  0.434
Te  0.911  0.645  0.934
Te  0.911  0.855  0.434
O  0.031  0.587  0.155
O  0.031  0.913  0.655
O  0.151  0.567  0.545
O  0.151  0.933  0.045
O  0.201  0.224  0.967
O  0.201  0.276  0.467
O  0.299  0.724  0.967
O  0.299  0.776  0.467
O  0.349  0.067  0.545
O  0.349  0.433  0.045
O  0.469  0.087  0.155
O  0.469  0.413  0.655
O  0.531  0.587  0.345
O  0.531  0.913  0.845
O  0.651  0.567  0.955
O  0.651  0.933  0.455
O  0.701  0.224  0.533
O  0.701  0.276  0.033
O  0.799  0.724  0.533
O  0.799  0.776  0.033
O  0.849  0.067  0.955
O  0.849  0.433  0.455
O  0.969  0.087  0.345
O  0.969  0.413  0.845

---

NiP3 at its PBEsol-relaxed geometry. Source: Alexandria via LeMat-Bulk, functional meta-GGA SCAN.

Summary:
Space-group type: No. 10
Crystal system: monoclinic
Formation energy: 137 meV/atom

Unit cell a=2.445 b=3.262 c=6.627 alpha=90.00 beta=97.73 gamma=90.00
Sites, in units of the cell vectors:
Ni  0.000  0.000  0.000
P  0.000  0.000  0.500
P  0.098  0.500  0.767
P  0.902  0.500  0.233

---

Table of uncorrected energy (eV/atom), in record order: -15.23, -11.71
Table of magnetization (Bohr magnetons per cell), in record order: 0.0, 0.0